Computed, not measured: an optimized crystal structure of CuSbPd2 at the PBE-GGA level of DFT.

a b c (Å): 4.514 4.514 4.514
angles (deg): 60.00 60.00 60.00
Element x y z (fractional)
Cu 0.000 0.000 0.000
Sb 0.750 0.750 0.750
Pd 0.250 0.250 0.250
Pd 0.500 0.500 0.500

Results
**SG**: F-43m, No. 216
**Total DFT energy (no corrections)**: -19.06 eV/cell



Computed, not measured: an optimized crystal structure of GdHoI2N at the PBE-GGA level of DFT.

a b c (Å): 3.782 3.782 10.839
angles (deg): 90.00 90.00 120.00
Element x y z (fractional)
Gd 0.000 0.000 0.000
Ho 0.333 0.667 0.234
I 0.000 0.000 0.432
I 0.333 0.667 0.798
N 0.667 0.333 0.123

Results
**Size of the total moment**: 0.01 μB/cell
**SG**: P3m1, No. 156
**Total DFT energy (no corrections)**: -27.55 eV/cell



Computed, not measured: an optimized crystal structure of Pr2Ho2CIBr4 at the PBE-GGA level of DFT.

a b c (Å): 9.261 9.261 8.519
angles (deg): 103.54 103.54 24.27
Element x y z (fractional)
Pr 0.145 0.145 0.075
Pr 0.855 0.855 0.925
Ho 0.500 0.500 0.190
Ho 0.500 0.500 0.810
C 0.000 0.000 0.000
I 0.000 0.000 0.500
Br 0.335 0.335 0.183
Br 0.340 0.340 0.654
Br 0.660 0.660 0.346
Br 0.665 0.665 0.817

Results
**Size of the total moment**: 0.25 μB/cell
**SG**: C2/m, No. 12
**Total DFT energy (no corrections)**: -49.73 eV/cell



Computed, not measured: an optimized crystal structure of GdHoAlNi2 at the PBE-GGA level of DFT.

a b c (Å): 5.374 5.374 5.374
angles (deg): 134.25 119.86 78.72
Element x y z (fractional)
Gd 0.000 0.000 0.000
Ho 0.591 0.591 0.000
Al 0.296 0.796 0.500
Ni 0.029 0.296 0.733
Ni 0.562 0.296 0.267

Results
**Size of the total moment**: 0.00 μB/cell
**SG**: Imm2, No. 44
**Total DFT energy (no corrections)**: -26.83 eV/cell



Computed, not measured: an optimized crystal structure of PuGeB at the PBE-GGA level of DFT.

a b c (Å): 4.326 4.326 4.326
angles (deg): 60.00 60.00 60.00
Element x y z (fractional)
Pu 0.000 0.000 0.000
Ge 0.750 0.750 0.750
B 0.500 0.500 0.500

Results
**Size of the total moment**: 5.63 μB/cell
**SG**: F-43m, No. 216
**Total DFT energy (no corrections)**: -23.37 eV/cell



Computed, not measured: an optimized crystal structure of KCu3WSe4 at the PBE-GGA level of DFT.

a b c (Å): 6.133 6.133 6.133
angles (deg): 90.00 90.00 90.00
Element x y z (fractional)
K 0.000 0.000 0.000
Cu 0.000 0.500 0.500
Cu 0.500 0.000 0.500
Cu 0.500 0.500 0.000
W 0.500 0.500 0.500
Se 0.274 0.274 0.274
Se 0.274 0.726 0.726
Se 0.726 0.274 0.726
Se 0.726 0.726 0.274

Results
**Size of the total moment**: 1.88 μB/cell
**SG**: P-43m, No. 215
**Total DFT energy (no corrections)**: -40.68 eV/cell